This record from the Alexandria database describes a geometry-optimized Nd3Y7 structure. The functional is PBE-GGA.

Properties
DFT formation energy = 0.018 eV/atom
electronic total energy = -59.38 eV per cell
symmetry = C2/m
offset from the most stable computed form = 0 meV/atom

```
Nd3Y7
1.0
9.188 -2.544 0.000
9.188 2.544 0.000
-1.414 0.000 7.077
Nd Y
3 7
direct
0.000 0.000 0.000
0.199 0.199 0.600
0.801 0.801 0.400
0.000 0.000 0.500
0.200 0.200 0.100
0.400 0.400 0.199
0.400 0.400 0.700
0.600 0.600 0.300
0.600 0.600 0.801
0.800 0.800 0.900
```